## i
## Al2CrBr (PBE)

Data for Al2CrBr after structural relaxation.

Computed properties:
The magnetization comes out at 2.4 μB per formula unit.

Cell and atoms, written as POSCAR:
```
Al2CrBr
1.0
9.058 0.000 0.000
0.000 3.168 0.000
-0.759 0.000 6.256
Al Cr Br
4 2 2
direct
0.000 0.000 0.000 Al
0.240 0.500 0.200 Al
0.500 0.500 0.000 Al
0.740 0.000 0.200 Al
0.466 0.000 0.295 Cr
0.966 0.500 0.295 Cr
0.062 0.000 0.629 Br
0.562 0.500 0.629 Br
```

## ii
## Al2CrBr (PBE)

Data for Al2CrBr after structural relaxation.

Computed properties:
The magnetization comes out at 4.3 μB per formula unit.

Cell and atoms, written as POSCAR:
```
Al2CrBr
1.0
3.986 0.000 0.000
0.000 3.986 0.000
0.000 0.000 10.022
Al Cr Br
4 2 2
direct
0.000 0.500 0.250 Al
0.000 0.500 0.750 Al
0.500 0.000 0.250 Al
0.500 0.000 0.750 Al
0.000 0.000 0.000 Cr
0.500 0.500 0.500 Cr
0.000 0.000 0.500 Br
0.500 0.500 0.000 Br
```

## iii
## Al2CrBr (PBE)

Data for Al2CrBr after structural relaxation.

Computed properties:
The magnetization comes out at 1.0 μB per formula unit.

Cell and atoms, written as POSCAR:
```
Al2CrBr
1.0
3.014 0.000 0.000
-1.507 2.610 0.000
0.000 0.000 29.995
Al Cr Br
6 3 3
direct
0.000 0.000 0.000 Al
0.000 0.000 0.256 Al
0.333 0.667 0.667 Al
0.333 0.667 0.923 Al
0.667 0.333 0.333 Al
0.667 0.333 0.590 Al
0.000 0.000 0.523 Cr
0.333 0.667 0.189 Cr
0.667 0.333 0.856 Cr
0.000 0.000 0.800 Br
0.333 0.667 0.467 Br
0.667 0.333 0.133 Br
```

Relative energies with respect to the most stable structure, expressed in eV/atom: i 0.010; ii 0.245; iii 0.000.